# 1
The following is a DFT calculation (PBE) of crystalline Tm2NpTl2S6 at its relaxed geometry.

abc: 6.8691 6.8691 7.9364
angles: 98.45 98.45 120.06
Last column: magnetic moment on the atom in μB.
Atoms (fractional coordinates):
S: 0.0630 0.3960 0.6922  -0.04
S: 0.2642 0.2642 0.3075  -0.04
S: 0.3960 0.0630 0.6922  -0.04
S: 0.9370 0.6040 0.3078  -0.04
S: 0.6040 0.9370 0.3078  -0.04
S: 0.7358 0.7358 0.6925  -0.04
Tl: 0.8317 0.1683 0.0000  0.00
Tl: 0.1683 0.8317 0.0000  0.00
Tm: 0.3332 0.6668 0.5000  0.01
Tm: 0.6668 0.3332 0.5000  0.01
Np: 0.0000 0.0000 0.5000  3.20

Computed properties:
- ρ: 6304 kg/m3
- Uncorrected formation energy: -15.7 eV/f.u.
- Raw total energy: -6.099 eV per atom
- Magnetic moment: 3.00 μB per formula unit

---

# 2
The following is a DFT calculation (PBE) of crystalline Tm3NpTl3S8 at its relaxed geometry.

abc: 7.9347 7.9346 8.8606
angles: 116.62 90.00 120.00
Last column: magnetic moment on the atom in μB.
Atoms (fractional coordinates):
Tl: 0.5000 0.5000 0.0000  0.00
Tl: 0.0000 0.0000 0.0000  0.00
Tl: 0.0000 0.5000 0.0000  0.00
Np: 0.0000 0.0000 0.5000  3.19
Tm: 0.5000 0.0000 0.5000  0.01
Tm: 0.0000 0.5000 0.5000  0.01
Tm: 0.5000 0.5000 0.5000  0.01
S: 0.7703 0.5406 0.3077  -0.04
S: 0.7313 0.4626 0.6938  0.00
S: 0.2297 0.9627 0.6923  -0.04
S: 0.2687 0.5374 0.3062  0.00
S: 0.2670 0.0373 0.3077  -0.04
S: 0.2297 0.4594 0.6923  -0.04
S: 0.7330 0.9627 0.6923  -0.04
S: 0.7703 0.0373 0.3077  -0.04

Computed properties:
- ρ: 6481 kg/m3
- Uncorrected formation energy: -21.7 eV/f.u.
- Raw total energy: -5.876 eV per atom
- Magnetic moment: 3.00 μB per formula unit

---

# 3
The following is a DFT calculation (PBE) of crystalline TmNp3Tl4S8 at its relaxed geometry.

abc: 8.0864 8.8478 8.0863
angles: 117.20 120.00 90.00
Last column: magnetic moment on the atom in μB.
Atoms (fractional coordinates):
Np: 0.0000 0.5000 0.5000  3.83
Np: 0.5000 0.5000 0.0000  3.83
Np: 0.5000 0.5000 0.5000  3.83
Tl: 0.0000 0.0000 0.0000  0.01
Tl: 0.0000 0.0000 0.5000  0.01
Tl: 0.5000 0.0000 0.5000  0.01
Tl: 0.5000 0.0000 0.0000  0.02
S: 0.7306 0.6918 0.4613  -0.09
S: 0.7705 0.3055 0.0350  -0.06
S: 0.2295 0.6945 0.9650  -0.06
S: 0.7705 0.3055 0.5409  -0.06
S: 0.2295 0.6945 0.4591  -0.06
S: 0.2645 0.3055 0.0350  -0.06
S: 0.2694 0.3082 0.5387  -0.09
S: 0.7355 0.6945 0.9650  -0.06
Tm: 0.0000 0.5000 0.0000  0.07

Computed properties:
- ρ: 7624 kg/m3
- Uncorrected formation energy: -18.1 eV/f.u.
- Raw total energy: -6.495 eV per atom
- Magnetic moment: 12.00 μB per formula unit

---

# 4
The following is a DFT calculation (PBE) of crystalline Tm3NpTl4S8 at its relaxed geometry.

abc: 8.0026 8.8365 8.0027
angles: 116.93 120.00 90.00
Last column: magnetic moment on the atom in μB.
Atoms (fractional coordinates):
Tm: 0.5000 0.5000 0.5000  0.03
Tm: 0.0000 0.5000 0.5000  0.03
Tm: 0.5000 0.5000 0.0000  0.03
S: 0.7268 0.6956 0.9612  -0.03
S: 0.7656 0.3044 0.5311  -0.03
S: 0.7656 0.3044 0.0388  -0.03
S: 0.2686 0.3059 0.5372  0.00
S: 0.2732 0.3044 0.0388  -0.03
S: 0.7314 0.6941 0.4628  0.00
S: 0.2344 0.6956 0.9612  -0.03
S: 0.2344 0.6956 0.4689  -0.03
Tl: 0.0000 0.0000 0.0000  0.01
Tl: 0.5000 0.0000 0.5000  0.01
Tl: 0.5000 0.0000 0.0000  -0.01
Tl: 0.0000 0.0000 0.5000  0.01
Np: 0.0000 0.5000 0.0000  3.76

Computed properties:
- ρ: 7226 kg/m3
- Uncorrected formation energy: -21.7 eV/f.u.
- Raw total energy: -5.662 eV per atom
- Magnetic moment: 4.00 μB per formula unit

---

# 5
The following is a DFT calculation (PBE) of crystalline Np3UTl3S8 at its relaxed geometry.

abc: 8.0663 8.0659 8.8649
angles: 117.08 90.00 120.00
Last column: magnetic moment on the atom in μB.
Atoms (fractional coordinates):
Tl: 0.5000 0.5000 0.0000  0.01
Tl: 0.0000 0.0000 0.0000  0.01
Tl: 0.0000 0.5000 0.0000  0.01
Np: 0.0000 0.5000 0.5000  3.81
Np: 0.5000 0.5000 0.5000  3.81
Np: 0.5000 0.0000 0.5000  3.81
S: 0.2282 0.9629 0.6910  -0.08
S: 0.7309 0.4619 0.6927  -0.09
S: 0.2691 0.5381 0.3073  -0.09
S: 0.2653 0.0371 0.3090  -0.08
S: 0.7718 0.5436 0.3090  -0.08
S: 0.2282 0.4564 0.6910  -0.08
S: 0.7347 0.9629 0.6910  -0.08
S: 0.7718 0.0371 0.3090  -0.08
U: 0.0000 0.0000 0.5000  2.20

Computed properties:
- ρ: 7107 kg/m3
- Uncorrected formation energy: -16.7 eV/f.u.
- Raw total energy: -7.130 eV per atom
- Magnetic moment: 14.00 μB per formula unit

---

# 6
The following is a DFT calculation (PBE) of crystalline NpU2Tl2S6 at its relaxed geometry.

abc: 6.9547 6.9547 7.9102
angles: 98.24 98.24 120.00
Last column: magnetic moment on the atom in μB.
Atoms (fractional coordinates):
Tl: 0.1656 0.8344 0.0000  0.01
Tl: 0.8344 0.1656 0.0000  0.01
S: 0.3995 0.0610 0.6919  -0.07
S: 0.0610 0.3995 0.6919  -0.07
S: 0.6005 0.9390 0.3081  -0.07
S: 0.7274 0.7274 0.6928  -0.07
S: 0.2726 0.2726 0.3072  -0.07
S: 0.9390 0.6005 0.3081  -0.07
U: 0.6659 0.3341 0.5000  2.35
U: 0.3341 0.6659 0.5000  2.35
Np: 0.0000 0.0000 0.5000  3.86

Computed properties:
- ρ: 6875 kg/m3
- Uncorrected formation energy: -12.6 eV/f.u.
- Raw total energy: -7.053 eV per atom
- Magnetic moment: 9.00 μB per formula unit

---

# 7
The following is a DFT calculation (PBE) of crystalline NpU3Tl3S8 at its relaxed geometry.

abc: 8.0344 8.0352 8.8841
angles: 116.90 90.00 120.00
Last column: magnetic moment on the atom in μB.
Atoms (fractional coordinates):
Np: 0.0000 0.0000 0.5000  3.84
Tl: 0.5000 0.5000 0.0000  0.01
Tl: 0.0000 0.0000 0.0000  0.01
Tl: 0.0000 0.5000 0.0000  0.01
S: 0.2682 0.5363 0.3045  -0.06
S: 0.7678 0.5356 0.3075  -0.07
S: 0.7678 0.0396 0.3075  -0.07
S: 0.2718 0.0397 0.3076  -0.07
S: 0.2322 0.4644 0.6925  -0.07
S: 0.2322 0.9604 0.6925  -0.07
S: 0.7318 0.4637 0.6955  -0.06
S: 0.7282 0.9603 0.6924  -0.07
U: 0.5000 0.0000 0.5000  2.45
U: 0.0000 0.5000 0.5000  2.45
U: 0.5000 0.5000 0.5000  2.45

Computed properties:
- ρ: 7139 kg/m3
- Uncorrected formation energy: -16.6 eV/f.u.
- Raw total energy: -6.904 eV per atom
- Magnetic moment: 12.00 μB per formula unit

---

# 8
The following is a DFT calculation (PBE) of crystalline NpU3Tl4S12 at its relaxed geometry.

abc: 8.9761 8.9761 8.9761
angles: 109.47 109.47 109.47
Last column: magnetic moment on the atom in μB.
Atoms (fractional coordinates):
S: 0.0000 0.2539 0.2539  -0.10
S: 0.7500 0.2500 0.5000  -0.07
S: 0.7461 0.7461 0.0000  -0.10
S: 0.5000 0.2500 0.7500  -0.07
S: 0.2539 0.2539 0.0000  -0.10
S: 0.2539 0.0000 0.2539  -0.10
S: 0.0000 0.7461 0.7461  -0.10
S: 0.2500 0.5000 0.7500  -0.07
S: 0.7500 0.5000 0.2500  -0.07
S: 0.5000 0.7500 0.2500  -0.07
S: 0.7461 0.0000 0.7461  -0.10
S: 0.2500 0.7500 0.5000  -0.07
U: 0.5000 0.0000 0.5000  1.00
U: 0.5000 0.5000 0.0000  1.00
U: 0.0000 0.5000 0.5000  1.00
Tl: 0.0000 0.5000 0.0000  0.00
Tl: 0.0000 0.0000 0.5000  0.00
Tl: 0.5000 0.0000 0.0000  0.00
Tl: 0.5000 0.5000 0.5000  0.00
Np: 0.0000 0.0000 0.0000  3.09

Computed properties:
- ρ: 6423 kg/m3
- Uncorrected formation energy: -19.0 eV/f.u.
- Raw total energy: -6.242 eV per atom
- Magnetic moment: 5.01 μB per formula unit

---

# 9
The following is a DFT calculation (PBE) of crystalline Np2Tl2VS6 at its relaxed geometry.

abc: 6.5997 6.5997 7.9506
angles: 98.29 98.29 119.57
Last column: magnetic moment on the atom in μB.
Atoms (fractional coordinates):
Tl: 0.1715 0.8285 0.0000  0.00
Tl: 0.8285 0.1715 0.0000  0.00
S: 0.9344 0.6222 0.3116  -0.10
S: 0.6222 0.9344 0.3116  -0.10
S: 0.7573 0.7573 0.6898  -0.10
S: 0.0656 0.3778 0.6884  -0.10
S: 0.2427 0.2427 0.3102  -0.10
S: 0.3778 0.0656 0.6884  -0.10
Np: 0.6662 0.3338 0.5000  3.52
Np: 0.3338 0.6662 0.5000  3.52
V: 0.0000 0.0000 0.5000  1.97

Computed properties:
- ρ: 6480 kg/m3
- Uncorrected formation energy: -10.9 eV/f.u.
- Raw total energy: -6.850 eV per atom
- Magnetic moment: 9.00 μB per formula unit

---

# 10
The following is a DFT calculation (PBE) of crystalline Np2Tl3VS6 at its relaxed geometry.

abc: 6.6965 6.6965 7.9247
angles: 98.13 98.13 119.87
Last column: magnetic moment on the atom in μB.
Atoms (fractional coordinates):
S: 0.9373 0.6251 0.8122  -0.09
S: 0.0627 0.3749 0.1878  -0.09
S: 0.7521 0.7521 0.1930  -0.09
S: 0.2479 0.2479 0.8070  -0.09
S: 0.6251 0.9373 0.8122  -0.09
S: 0.3749 0.0627 0.1878  -0.09
V: 0.0000 0.0000 0.0000  2.16
Tl: 0.5000 0.5000 0.5000  0.02
Tl: 0.1714 0.8286 0.5000  0.02
Tl: 0.8286 0.1714 0.5000  0.02
Np: 0.3339 0.6661 0.0000  3.70
Np: 0.6661 0.3339 0.0000  3.70

Computed properties:
- ρ: 7473 kg/m3
- Uncorrected formation energy: -10.8 eV/f.u.
- Raw total energy: -6.474 eV per atom
- Magnetic moment: 10.00 μB per formula unit

---

# 11
The following is a DFT calculation (PBE) of crystalline Y3NpTl3S8 at its relaxed geometry.

abc: 8.0380 8.0378 8.8829
angles: 116.91 90.00 120.00
Last column: magnetic moment on the atom in μB.
Atoms (fractional coordinates):
Tl: 0.0000 0.5000 0.0000  0.00
Tl: 0.0000 0.0000 0.0000  0.00
Tl: 0.5000 0.5000 0.0000  0.00
S: 0.7378 0.9657 0.6936  -0.04
S: 0.2676 0.5351 0.3028  0.00
S: 0.2279 0.4558 0.6936  -0.04
S: 0.7721 0.0342 0.3064  -0.04
S: 0.2622 0.0343 0.3064  -0.04
S: 0.7324 0.4649 0.6972  0.00
S: 0.7721 0.5442 0.3064  -0.04
S: 0.2279 0.9658 0.6936  -0.04
Y: 0.5000 0.5000 0.5000  0.01
Y: 0.0000 0.5000 0.5000  0.01
Y: 0.5000 0.0000 0.5000  0.01
Np: 0.0000 0.0000 0.5000  3.19

Computed properties:
- ρ: 5382 kg/m3
- Uncorrected formation energy: -21.7 eV/f.u.
- Raw total energy: -6.278 eV per atom
- Magnetic moment: 3.00 μB per formula unit

---

# 12
The following is a DFT calculation (PBE) of crystalline YNp3Tl3S8 at its relaxed geometry.

abc: 8.0632 8.0632 8.8402
angles: 117.18 90.00 120.00
Last column: magnetic moment on the atom in μB.
Atoms (fractional coordinates):
S: 0.2692 0.5383 0.3077  -0.09
S: 0.7675 0.0388 0.3066  -0.07
S: 0.2713 0.0388 0.3066  -0.07
S: 0.2326 0.4652 0.6935  -0.07
S: 0.2325 0.9612 0.6934  -0.07
S: 0.7287 0.9612 0.6934  -0.07
S: 0.7308 0.4617 0.6923  -0.09
S: 0.7674 0.5348 0.3065  -0.07
Np: 0.0000 0.5000 0.5000  3.66
Np: 0.5000 0.0000 0.5000  3.66
Np: 0.5000 0.5000 0.5000  3.66
Tl: 0.5000 0.5000 0.0000  0.00
Tl: 0.0000 0.0000 0.0000  0.00
Tl: 0.0000 0.5000 0.0000  0.00
Y: 0.0000 0.0000 0.5000  0.04

Computed properties:
- ρ: 6556 kg/m3
- Uncorrected formation energy: -18.2 eV/f.u.
- Raw total energy: -6.907 eV per atom
- Magnetic moment: 11.00 μB per formula unit

---

- Look up the raw total energy of the sixth one.
  -7.053 eV per atom